Entry 1:
Crystalline Pu4MgIr3 at its relaxed geometry, computed with PBE.

Results
E_tot = -11.165 eV per atom
V = 20.81 Å³ per atom
Space group = I4/mcm (140)
D(E_F) = 49.9 states/eV per cell

Lattice parameters (Å, degrees): 5.6401 8.1840 8.1840 83.18 69.84 69.84
With the nearest neighbours (Å) after each atom.
Sites, in units of the cell vectors:
Ir1 0.1577 0.5000 0.1846  2 Mg 2.80, 4 Pu 2.91
Ir2 0.6577 0.1846 0.5000  2 Mg 2.80, 4 Pu 2.91
Ir3 0.7500 0.0000 0.0000  2 Ir 2.82, 8 Pu 2.95
Ir4 0.2500 0.0000 0.0000  2 Ir 2.82, 8 Pu 2.95
Ir5 0.3423 0.8154 0.5000  2 Mg 2.80, 4 Pu 2.91
Ir6 0.8423 0.5000 0.8154  2 Mg 2.80, 4 Pu 2.91
Pu1 0.7241 0.8588 0.6930  6 Ir 2.91-3.20, 1 Pu 2.97
Pu2 0.7759 0.3070 0.1412  6 Ir 2.91-3.20, 1 Pu 2.97
Pu3 0.2759 0.1412 0.3070  6 Ir 2.91-3.20, 1 Pu 2.97
Pu4 0.4171 0.3070 0.8588  6 Ir 2.91-3.20, 1 Pu 2.97
Pu5 0.2241 0.6930 0.8588  6 Ir 2.91-3.20, 1 Pu 2.97
Pu6 0.0829 0.1412 0.6930  6 Ir 2.91-3.20, 1 Pu 2.97
Pu7 0.5829 0.6930 0.1412  6 Ir 2.91-3.20, 1 Pu 2.97
Pu8 0.9171 0.8588 0.3070  6 Ir 2.91-3.20, 1 Pu 2.97
Mg1 0.7500 0.5000 0.5000  4 Ir 2.80, 2 Mg 2.82
Mg2 0.2500 0.5000 0.5000  4 Ir 2.80, 2 Mg 2.82


Entry 2:
Crystalline Pu2MgIr at its relaxed geometry, computed with PBE.

Results
E_tot = -9.466 eV per atom
V = 16.73 Å³ per atom
Space group = P4/mmm (123)
D(E_F) = 8.1 states/eV per cell
Relative energy among the computed polymorphs = 0.5085 eV per atom

Lattice parameters (Å, degrees): 5.1294 3.6122 3.6122 90.00 90.00 90.00
With the nearest neighbours (Å) after each atom.
Sites, in units of the cell vectors:
Ir1 0.5000 0.0000 0.0000  4 Mg 2.55
Mg1 0.5000 0.5000 0.5000  4 Ir 2.55
Pu1 0.0000 0.0000 0.5000  4 Pu 2.55
Pu2 0.0000 0.5000 0.0000  4 Pu 2.55


Entry 3:
Crystalline Pu3Mg7Ir4 at its relaxed geometry, computed with PBE.

Results
E_tot = -6.715 eV per atom
V = 20.60 Å³ per atom
Space group = C2/m (12)
D(E_F) = 27.6 states/eV per cell

Lattice parameters (Å, degrees): 4.0456 8.3073 9.3209 74.14 77.47 75.91
With the nearest neighbours (Å) after each atom.
Sites, in units of the cell vectors:
Mg1 0.1715 0.5911 0.0658  3 Ir 2.80-2.93, 4 Mg 2.92-2.93
Mg2 0.4867 0.2387 0.7878  3 Ir 2.68, 3 Mg 2.90-2.93
Mg3 0.6773 0.1487 0.4967  4 Ir 2.72-2.77, 1 Mg 2.90
Mg4 0.0000 0.0000 0.0000  2 Ir 2.65
Mg5 0.5133 0.7613 0.2122  3 Ir 2.68, 3 Mg 2.90-2.93
Mg6 0.8285 0.4089 0.9342  3 Ir 2.80-2.93, 4 Mg 2.92-2.93
Mg7 0.3227 0.8513 0.5033  4 Ir 2.72-2.77, 1 Mg 2.90
Ir1 0.6627 0.4206 0.2541  5 Mg 2.68-2.93, 2 Pu 2.82
Ir2 0.8836 0.9331 0.2998  6 Mg 2.65-2.77, 2 Pu 2.84
Ir3 0.1164 0.0669 0.7002  6 Mg 2.65-2.77, 2 Pu 2.84
Ir4 0.3373 0.5794 0.7459  5 Mg 2.68-2.93, 2 Pu 2.82
Pu1 0.2952 0.1863 0.2234  4 Ir 2.82-2.84
Pu2 0.0000 0.5000 0.5000  6 Ir 3.19-3.54, 4 Mg 3.48
Pu3 0.7048 0.8137 0.7766  4 Ir 2.82-2.84


Entry 4:
Crystalline Pu2MgIr2 at its relaxed geometry, computed with PBE.

Results
E_tot = -9.913 eV per atom
V = 20.21 Å³ per atom
Space group = Cmc2_1 (36)
D(E_F) = 23.8 states/eV per cell

Lattice parameters (Å, degrees): 4.3863 5.8027 8.2371 90.00 105.44 90.00
With the nearest neighbours (Å) after each atom.
Sites, in units of the cell vectors:
Ir1 0.4002 0.9569 0.8004  2 Mg 2.79-3.01, 4 Pu 2.85-2.89
Ir2 0.1788 0.1119 0.3577  2 Mg 2.68, 5 Pu 2.75-2.95
Ir3 0.5998 0.4569 0.1996  2 Mg 2.79-3.01, 4 Pu 2.85-2.89
Ir4 0.8212 0.6119 0.6423  2 Mg 2.68, 5 Pu 2.75-2.95
Mg1 0.6054 0.9377 0.2108  3 Ir 2.68-2.79
Mg2 0.3946 0.4377 0.7892  3 Ir 2.68-2.79
Pu1 0.0133 0.2510 0.0267  3 Ir 2.75-2.85, 2 Pu 2.93
Pu2 0.7954 0.1081 0.5907  6 Ir 2.87-2.95, 1 Mg 3.17
Pu3 0.9867 0.7510 0.9733  3 Ir 2.75-2.85, 2 Pu 2.93
Pu4 0.2046 0.6081 0.4093  6 Ir 2.87-2.95, 1 Mg 3.17


Entry 5:
Crystalline PuMgIrRh at its relaxed geometry, computed with PBE.

Results
E_tot = -8.507 eV per atom
V = 17.83 Å³ per atom
Space group = F-43m (216)
D(E_F) = 5.7 states/eV per cell

Lattice parameters (Å, degrees): 4.6550 4.6550 4.6550 60.00 60.00 60.00
With the nearest neighbours (Å) after each atom.
Sites, in units of the cell vectors:
Ir1 0.7500 0.7500 0.7500  4 Mg 2.85, 4 Pu 2.85
Pu1 0.0000 0.0000 0.0000  4 Rh 2.85, 4 Ir 2.85
Rh1 0.2500 0.2500 0.2500  4 Mg 2.85, 4 Pu 2.85
Mg1 0.5000 0.5000 0.5000  4 Ir 2.85, 4 Rh 2.85


Entry 6:
Crystalline PuMgIrRu at its relaxed geometry, computed with PBE.

Results
E_tot = -8.840 eV per atom
V = 17.41 Å³ per atom
Space group = F-43m (216)
D(E_F) = 2.7 states/eV per cell

Lattice parameters (Å, degrees): 4.6181 4.6181 4.6181 60.00 60.00 60.00
With the nearest neighbours (Å) after each atom.
Sites, in units of the cell vectors:
Ru1 0.2500 0.2500 0.2500  4 Pu 2.83, 4 Mg 2.83
Pu1 0.0000 0.0000 0.0000  4 Ir 2.83, 4 Ru 2.83
Ir1 0.7500 0.7500 0.7500  4 Mg 2.83, 4 Pu 2.83
Mg1 0.5000 0.5000 0.5000  4 Ru 2.83, 4 Ir 2.83


Entry 7:
Crystalline PuMgScIr at its relaxed geometry, computed with PBE.

Results
E_tot = -8.082 eV per atom
V = 19.31 Å³ per atom
Space group = F-43m (216)
D(E_F) = 5.6 states/eV per cell

Lattice parameters (Å, degrees): 4.7805 4.7805 4.7805 60.00 60.00 60.00
With the nearest neighbours (Å) after each atom.
Sites, in units of the cell vectors:
Pu1 0.7500 0.7500 0.7500  4 Ir 2.93, 4 Sc 2.93
Mg1 0.2500 0.2500 0.2500  4 Sc 2.93, 4 Ir 2.93
Ir1 0.0000 0.0000 0.0000  4 Mg 2.93, 4 Pu 2.93
Sc1 0.5000 0.5000 0.5000  4 Mg 2.93, 4 Pu 2.93


Entry 8:
Crystalline Pu2MgSi4Ir3 at its relaxed geometry, computed with PBE.

Results
E_tot = -8.532 eV per atom
V = 17.60 Å³ per atom
Space group = P-4m2 (115)
D(E_F) = 26.1 states/eV per cell
Energy relative to the elements, uncorrected = -678 meV per atom

Lattice parameters (Å, degrees): 4.1440 4.1440 10.2495 90.00 90.00 90.00
With the nearest neighbours (Å) after each atom.
Sites, in units of the cell vectors:
Ir1 0.0000 0.5000 0.1222  5 Si 2.38-2.42
Ir2 0.5000 0.0000 0.8778  5 Si 2.38-2.42
Ir3 0.0000 0.0000 0.5000  4 Si 2.55
Si1 0.0000 0.0000 0.0000  4 Ir 2.42
Si2 0.5000 0.5000 0.0000  4 Ir 2.42
Si3 0.5000 0.0000 0.6457  3 Ir 2.38-2.55, 2 Mg 2.55
Si4 0.0000 0.5000 0.3543  3 Ir 2.38-2.55, 2 Mg 2.55
Mg1 0.5000 0.5000 0.5000  4 Si 2.55
Pu1 0.5000 0.0000 0.2399  8 Si 3.16-3.22, 6 Ir 3.17-3.38, 2 Mg 3.38
Pu2 0.0000 0.5000 0.7601  8 Si 3.16-3.22, 6 Ir 3.17-3.38, 2 Mg 3.38


Entry 9:
Crystalline Pu2MgSi3Ir4 at its relaxed geometry, computed with PBE.

Results
E_tot = -8.944 eV per atom
V = 17.50 Å³ per atom
Space group = P-4m2 (115)
D(E_F) = 26.0 states/eV per cell
Energy relative to the elements, uncorrected = -747 meV per atom

Lattice parameters (Å, degrees): 4.0779 4.0779 10.5261 90.00 90.00 90.00
With the nearest neighbours (Å) after each atom.
Sites, in units of the cell vectors:
Si1 0.0000 0.5000 0.1232  5 Ir 2.39-2.42
Si2 0.0000 0.0000 0.5000  4 Ir 2.57, 4 Mg 2.88
Si3 0.5000 0.0000 0.8768  5 Ir 2.39-2.42
Ir1 0.0000 0.0000 0.0000  4 Si 2.42
Ir2 0.5000 0.5000 0.0000  4 Si 2.42
Ir3 0.0000 0.5000 0.3506  3 Si 2.39-2.57, 2 Mg 2.57
Ir4 0.5000 0.0000 0.6494  3 Si 2.39-2.57, 2 Mg 2.57
Mg1 0.5000 0.5000 0.5000  4 Ir 2.57, 4 Si 2.88
Pu1 0.0000 0.5000 0.7515  8 Ir 3.08-3.32, 6 Si 3.17-3.34, 2 Mg 3.34
Pu2 0.5000 0.0000 0.2485  8 Ir 3.08-3.32, 6 Si 3.17-3.34, 2 Mg 3.34


Entry 10:
Crystalline PuMgSnIr at its relaxed geometry, computed with PBE.

Results
E_tot = -7.414 eV per atom
V = 20.85 Å³ per atom
Space group = F-43m (216)
D(E_F) = 6.2 states/eV per cell

Lattice parameters (Å, degrees): 4.9045 4.9045 4.9045 60.00 60.00 60.00
With the nearest neighbours (Å) after each atom.
Sites, in units of the cell vectors:
Ir1 0.7500 0.7500 0.7500  4 Mg 3.00, 4 Pu 3.00
Mg1 0.5000 0.5000 0.5000  4 Sn 3.00, 4 Ir 3.00
Pu1 0.0000 0.0000 0.0000  4 Sn 3.00, 4 Ir 3.00
Sn1 0.2500 0.2500 0.2500  4 Pu 3.00, 4 Mg 3.00


Entry 11:
Crystalline PuMgTcIr at its relaxed geometry, computed with PBE.

Results
E_tot = -8.991 eV per atom
V = 17.39 Å³ per atom
Space group = F-43m (216)
D(E_F) = 5.3 states/eV per cell

Lattice parameters (Å, degrees): 4.6160 4.6160 4.6160 60.00 60.00 60.00
With the nearest neighbours (Å) after each atom.
Sites, in units of the cell vectors:
Mg1 0.7500 0.7500 0.7500  4 Ir 2.83, 4 Tc 2.83
Ir1 0.0000 0.0000 0.0000  4 Mg 2.83, 4 Pu 2.83
Tc1 0.5000 0.5000 0.5000  4 Pu 2.83, 4 Mg 2.83
Pu1 0.2500 0.2500 0.2500  4 Ir 2.83, 4 Tc 2.83


Entry 12:
Crystalline PuMgTlIr at its relaxed geometry, computed with PBE.

Results
E_tot = -6.847 eV per atom
V = 21.39 Å³ per atom
Space group = F-43m (216)
D(E_F) = 9.6 states/eV per cell

Lattice parameters (Å, degrees): 4.9458 4.9458 4.9458 60.00 60.00 60.00
With the nearest neighbours (Å) after each atom.
Sites, in units of the cell vectors:
Tl1 0.5000 0.5000 0.5000  4 Mg 3.03, 4 Pu 3.03
Ir1 0.0000 0.0000 0.0000  4 Pu 3.03, 4 Mg 3.03
Mg1 0.2500 0.2500 0.2500  4 Tl 3.03, 4 Ir 3.03
Pu1 0.7500 0.7500 0.7500  4 Ir 3.03, 4 Tl 3.03


Entry 13:
Crystalline TmPuMgIr at its relaxed geometry, computed with PBE.

Results
E_tot = -7.598 eV per atom
V = 21.83 Å³ per atom
Space group = F-43m (216)
D(E_F) = 5.6 states/eV per cell

Lattice parameters (Å, degrees): 4.9794 4.9794 4.9794 60.00 60.00 60.00
With the nearest neighbours (Å) after each atom.
Sites, in units of the cell vectors:
Pu1 0.7500 0.7500 0.7500  4 Mg 3.05, 4 Ir 3.05
Mg1 0.5000 0.5000 0.5000  4 Tm 3.05, 4 Pu 3.05
Tm1 0.2500 0.2500 0.2500  4 Ir 3.05, 4 Mg 3.05
Ir1 0.0000 0.0000 0.0000  4 Pu 3.05, 4 Tm 3.05